Version a
The following is a DFT calculation (PBE) of an optimized crystal structure of NbCrSb2.

Lattice parameters (Å, degrees): 4.8094 4.8094 4.8094 60.00 60.00 60.00
Closest atoms and distances in Å follow each position.
Sites, in units of the cell vectors:
Nb 0.0000 0.0000 0.0000  8 Sb 2.95
Cr 0.5000 0.5000 0.5000  8 Sb 2.95
Sb 0.2500 0.2500 0.2500  4 Cr 2.95, 4 Nb 2.95
Sb 0.7500 0.7500 0.7500  4 Cr 2.95, 4 Nb 2.95

Computed properties:
crystal system = cubic
space group = No. 225
calculated volume = 19.67 Å³/atom

=====

Version b
The following is a DFT calculation (PBE) of an optimized crystal structure of NbCrSb2.

Lattice parameters (Å, degrees): 7.6784 7.6784 7.6784 131.44 131.44 71.12
Closest atoms and distances in Å follow each position.
Sites, in units of the cell vectors:
Nb 0.0000 0.0000 0.0000  4 Sb 2.73
Nb 0.7500 0.2500 0.5000  4 Sb 2.73
Cr 0.2500 0.7500 0.5000  4 Sb 2.72
Cr 0.5000 0.5000 0.0000  4 Sb 2.72
Sb 0.1267 0.6250 0.0017  2 Cr 2.72, 2 Nb 2.73
Sb 0.3750 0.3767 0.5017  2 Cr 2.72, 2 Nb 2.73
Sb 0.6233 0.1250 0.9983  2 Cr 2.72, 2 Nb 2.73
Sb 0.8750 0.8733 0.4983  2 Cr 2.72, 2 Nb 2.73

Computed properties:
crystal system = tetragonal
space group = No. 122
calculated volume = 31.14 Å³/atom

=====

Version c
The following is a DFT calculation (PBE) of an optimized crystal structure of NbCrSb2.

Lattice parameters (Å, degrees): 9.7298 9.7298 9.7298 18.65 18.65 18.65
Closest atoms and distances in Å follow each position.
Sites, in units of the cell vectors:
Nb 0.0000 0.0000 0.0000  2 Sb 2.85, 6 Nb 3.15
Cr 0.5000 0.5000 0.5000  6 Sb 2.65
Sb 0.0995 0.0995 0.0995  3 Cr 2.65, 1 Nb 2.85
Sb 0.9005 0.9005 0.9005  3 Cr 2.65, 1 Nb 2.85

Computed properties:
crystal system = trigonal
space group = No. 166
calculated volume = 20.58 Å³/atom

=====

Quick one: least stable of them? version b

=====

Version a
The following is a DFT calculation (PBE) of an optimized crystal structure of NbCr2Sb.

Lattice parameters (Å, degrees): 4.4326 4.4326 4.4326 60.00 60.00 60.00
Closest atoms and distances in Å follow each position.
Sites, in units of the cell vectors:
Nb 0.0000 0.0000 0.0000  8 Cr 2.71
Cr 0.2500 0.2500 0.2500  4 Nb 2.71, 4 Sb 2.71
Cr 0.7500 0.7500 0.7500  4 Nb 2.71, 4 Sb 2.71
Sb 0.5000 0.5000 0.5000  8 Cr 2.71

Computed properties:
crystal system = cubic
space group = No. 225
calculated volume = 15.40 Å³/atom

=====

Version b
The following is a DFT calculation (PBE) of an optimized crystal structure of NbCr2Sb.

Lattice parameters (Å, degrees): 9.4970 9.4970 9.4970 155.90 155.90 34.34
Closest atoms and distances in Å follow each position.
Sites, in units of the cell vectors:
Nb 0.0000 0.0000 0.0000  4 Cr 2.58, 4 Sb 2.80
Nb 0.7500 0.2500 0.5000  4 Cr 2.58, 4 Sb 2.80
Cr 0.0545 0.6250 0.9295  2 Cr 2.44, 2 Nb 2.58
Cr 0.3750 0.3045 0.4295  2 Cr 2.44, 2 Nb 2.58
Cr 0.6955 0.1250 0.0705  2 Cr 2.44, 2 Nb 2.58
Cr 0.8750 0.9455 0.5705  2 Cr 2.44, 2 Nb 2.58
Sb 0.2500 0.7500 0.5000  4 Cr 2.78, 4 Nb 2.80
Sb 0.5000 0.5000 0.0000  4 Cr 2.78, 4 Nb 2.80

Computed properties:
crystal system = tetragonal
space group = No. 122
calculated volume = 17.83 Å³/atom

=====

Quick one: least stable of them? version b

=====

Version a
The following is a DFT calculation (PBE) of an optimized crystal structure of ScNb2Cr.

Lattice parameters (Å, degrees): 4.5867 4.5867 4.5867 60.00 60.00 60.00
Closest atoms and distances in Å follow each position.
Sites, in units of the cell vectors:
Sc 0.0000 0.0000 0.0000  8 Nb 2.81
Nb 0.2500 0.2500 0.2500  4 Cr 2.81, 4 Sc 2.81
Nb 0.7500 0.7500 0.7500  4 Cr 2.81, 4 Sc 2.81
Cr 0.5000 0.5000 0.5000  8 Nb 2.81

Computed properties:
crystal system = cubic
space group = No. 225
calculated volume = 17.06 Å³/atom

=====

Version b
The following is a DFT calculation (PBE) of an optimized crystal structure of ScNb2Cr.

Lattice parameters (Å, degrees): 5.8446 5.8446 5.8446 103.54 103.54 122.13
Closest atoms and distances in Å follow each position.
Sites, in units of the cell vectors:
Sc 0.0000 0.0000 0.0000  2 Cr 2.83, 8 Nb 2.88-3.16
Sc 0.7500 0.2500 0.5000  2 Cr 2.83, 8 Nb 2.88-3.16
Nb 0.1690 0.6250 0.0440  2 Cr 2.45
Nb 0.3750 0.4190 0.5440  2 Cr 2.45
Nb 0.5810 0.1250 0.9560  2 Cr 2.45
Nb 0.8750 0.8310 0.4560  2 Cr 2.45
Cr 0.2500 0.7500 0.5000  4 Nb 2.45
Cr 0.5000 0.5000 0.0000  4 Nb 2.45

Computed properties:
crystal system = tetragonal
space group = No. 122
calculated volume = 18.50 Å³/atom

=====

Version c
The following is a DFT calculation (PBE) of an optimized crystal structure of ScNb2Cr.

Lattice parameters (Å, degrees): 9.6452 9.6452 9.6452 17.94 17.94 17.94
Closest atoms and distances in Å follow each position.
Sites, in units of the cell vectors:
Sc 0.0000 0.0000 0.0000  2 Nb 2.83, 6 Sc 3.01
Nb 0.0995 0.0995 0.0995  3 Cr 2.58, 1 Sc 2.83
Nb 0.9005 0.9005 0.9005  3 Cr 2.58, 1 Sc 2.83
Cr 0.5000 0.5000 0.5000  6 Nb 2.58

Computed properties:
crystal system = trigonal
space group = No. 166
calculated volume = 18.57 Å³/atom

=====

Quick one: least stable of them? version b

=====

Version a
The following is a DFT calculation (PBE) of an optimized crystal structure of Sc3NbCr.

Lattice parameters (Å, degrees): 5.0398 5.0398 5.0398 90.00 90.00 90.00
Closest atoms and distances in Å follow each position.
Sites, in units of the cell vectors:
Sc 0.0000 0.0000 0.5000  2 Nb 2.52
Sc 0.0000 0.5000 0.0000  2 Nb 2.52
Sc 0.5000 0.0000 0.0000  2 Nb 2.52
Nb 0.0000 0.0000 0.0000  6 Sc 2.52
Cr 0.5000 0.5000 0.5000  12 Sc 3.56

Computed properties:
crystal system = cubic
space group = No. 221
calculated volume = 25.60 Å³/atom

=====

Version b
The following is a DFT calculation (PBE) of an optimized crystal structure of Sc3NbCr.

Lattice parameters (Å, degrees): 4.7535 4.7535 4.7535 90.00 90.00 90.00
Closest atoms and distances in Å follow each position.
Sites, in units of the cell vectors:
Sc 0.0000 0.0000 0.5000  2 Cr 2.38
Sc 0.0000 0.5000 0.0000  2 Cr 2.38
Sc 0.5000 0.0000 0.0000  2 Cr 2.38
Nb 0.5000 0.5000 0.5000  12 Sc 3.36
Cr 0.0000 0.0000 0.0000  6 Sc 2.38

Computed properties:
crystal system = cubic
space group = No. 221
calculated volume = 21.48 Å³/atom

=====

Quick one: least stable of them? version a

=====

Version a
The following is a DFT calculation (PBE) of an optimized crystal structure of NbCrSe2.

Lattice parameters (Å, degrees): 8.7118 8.7118 8.7118 20.42 20.42 20.42
Closest atoms and distances in Å follow each position.
Sites, in units of the cell vectors:
Nb 0.0000 0.0000 0.0000  2 Se 2.62
Cr 0.5000 0.5000 0.5000  6 Se 2.42
Se 0.1025 0.1025 0.1025  3 Cr 2.42, 1 Nb 2.62
Se 0.8975 0.8975 0.8975  3 Cr 2.42, 1 Nb 2.62

Computed properties:
crystal system = trigonal
space group = No. 166
calculated volume = 17.61 Å³/atom

=====

Version b
The following is a DFT calculation (PBE) of an optimized crystal structure of NbCrSe2.

Lattice parameters (Å, degrees): 6.9946 6.9946 6.9946 129.88 129.88 73.60
Closest atoms and distances in Å follow each position.
Sites, in units of the cell vectors:
Nb 0.0000 0.0000 0.0000  4 Se 2.54
Nb 0.7500 0.2500 0.5000  4 Se 2.54
Cr 0.2500 0.7500 0.5000  4 Se 2.50
Cr 0.5000 0.5000 0.0000  4 Se 2.50
Se 0.1309 0.6250 0.0059  2 Cr 2.50, 2 Nb 2.54
Se 0.3750 0.3809 0.5059  2 Cr 2.50, 2 Nb 2.54
Se 0.6191 0.1250 0.9941  2 Cr 2.50, 2 Nb 2.54
Se 0.8750 0.8691 0.4941  2 Cr 2.50, 2 Nb 2.54

Computed properties:
crystal system = tetragonal
space group = No. 122
calculated volume = 24.58 Å³/atom

=====

Quick one: least stable of them? version a

=====

Version a
The following is a DFT calculation (PBE) of an optimized crystal structure of NbCrSe2.

Lattice parameters (Å, degrees): 8.5997 8.5997 8.5997 21.52 21.52 21.52
Closest atoms and distances in Å follow each position.
Sites, in units of the cell vectors:
Nb 0.0000 0.0000 0.0000  6 Se 2.62
Cr 0.5000 0.5000 0.5000  2 Se 2.35
Se 0.4068 0.4068 0.4068  1 Cr 2.35, 3 Nb 2.62
Se 0.5932 0.5932 0.5932  1 Cr 2.35, 3 Nb 2.62

Computed properties:
crystal system = trigonal
space group = No. 166
calculated volume = 18.75 Å³/atom

=====

Version b
The following is a DFT calculation (PBE) of an optimized crystal structure of NbCrSe2.

Lattice parameters (Å, degrees): 4.5683 4.5683 4.5683 60.00 60.00 60.00
Closest atoms and distances in Å follow each position.
Sites, in units of the cell vectors:
Nb 0.0000 0.0000 0.0000  8 Se 2.80
Cr 0.5000 0.5000 0.5000  8 Se 2.80
Se 0.2500 0.2500 0.2500  4 Cr 2.80, 4 Nb 2.80
Se 0.7500 0.7500 0.7500  4 Cr 2.80, 4 Nb 2.80

Computed properties:
crystal system = cubic
space group = No. 225
calculated volume = 16.85 Å³/atom

=====

Quick one: least stable of them? version a

=====

Version a
The following is a DFT calculation (PBE) of an optimized crystal structure of Nb2CrSe4.

Lattice parameters (Å, degrees): 7.0732 7.0732 6.3875 114.74 114.74 28.89
Closest atoms and distances in Å follow each position.
Sites, in units of the cell vectors:
Nb 0.2432 0.2432 0.1793  6 Se 2.58-2.86
Nb 0.7568 0.7568 0.8207  6 Se 2.58-2.86
Cr 0.5000 0.5000 0.5000  6 Se 2.56-2.62
Se 0.1357 0.1357 0.4760  2 Cr 2.62, 3 Nb 2.75-2.86
Se 0.3999 0.3999 0.0556  1 Cr 2.56, 3 Nb 2.58-2.59
Se 0.6001 0.6001 0.9444  1 Cr 2.56, 3 Nb 2.58-2.59
Se 0.8643 0.8643 0.5240  2 Cr 2.62, 3 Nb 2.75-2.86

Computed properties:
crystal system = monoclinic
space group = No. 12
calculated volume = 19.89 Å³/atom

=====

Version b
The following is a DFT calculation (PBE) of an optimized crystal structure of Nb2CrSe4.

Lattice parameters (Å, degrees): 7.2519 7.2519 12.8232 90.00 90.00 120.00
Closest atoms and distances in Å follow each position.
Sites, in units of the cell vectors:
Nb 0.0000 0.0000 0.2500  6 Se 2.66
Nb 0.0000 0.0000 0.7500  6 Se 2.66
Nb 0.0557 0.5278 0.2500  1 Cr 2.44, 2 Se 2.59
Nb 0.4722 0.5278 0.2500  1 Cr 2.44, 2 Se 2.59
Nb 0.4722 0.9443 0.2500  1 Cr 2.44, 2 Se 2.59
Nb 0.5278 0.0557 0.7500  1 Cr 2.44, 2 Se 2.59
Nb 0.5278 0.4722 0.7500  1 Cr 2.44, 2 Se 2.59
Nb 0.9443 0.4722 0.7500  1 Cr 2.44, 2 Se 2.59
Cr 0.0000 0.0000 0.0000  6 Se 2.67
Cr 0.0000 0.0000 0.5000  6 Se 2.67
Cr 0.3333 0.6667 0.7500  3 Nb 2.44, 6 Se 2.60
Cr 0.6667 0.3333 0.2500  3 Nb 2.44, 6 Se 2.60
Se 0.1694 0.3388 0.6257  2 Cr 2.60-2.67, 3 Nb 2.66-2.78
Se 0.1694 0.3388 0.8743  2 Cr 2.60-2.67, 3 Nb 2.66-2.78
Se 0.1694 0.8306 0.6257  2 Cr 2.60-2.67, 3 Nb 2.66-2.78
Se 0.1694 0.8306 0.8743  2 Cr 2.60-2.67, 3 Nb 2.66-2.78
Se 0.3333 0.6667 0.1003  3 Nb 2.59
Se 0.3333 0.6667 0.3997  3 Nb 2.59
Se 0.3388 0.1694 0.1257  2 Cr 2.60-2.67, 3 Nb 2.66-2.78
Se 0.3388 0.1694 0.3743  2 Cr 2.60-2.67, 3 Nb 2.66-2.78
Se 0.6612 0.8306 0.6257  2 Cr 2.60-2.67, 3 Nb 2.66-2.78
Se 0.6612 0.8306 0.8743  2 Cr 2.60-2.67, 3 Nb 2.66-2.78
Se 0.6667 0.3333 0.6003  3 Nb 2.59
Se 0.6667 0.3333 0.8997  3 Nb 2.59
Se 0.8306 0.1694 0.1257  2 Cr 2.60-2.67, 3 Nb 2.66-2.78
Se 0.8306 0.1694 0.3743  2 Cr 2.60-2.67, 3 Nb 2.66-2.78
Se 0.8306 0.6612 0.1257  2 Cr 2.60-2.67, 3 Nb 2.66-2.78
Se 0.8306 0.6612 0.3743  2 Cr 2.60-2.67, 3 Nb 2.66-2.78

Computed properties:
crystal system = hexagonal
space group = No. 194
calculated volume = 20.86 Å³/atom

=====

Quick one: least stable of them? version b

=====

Version a
The following is a DFT calculation (PBE) of an optimized crystal structure of NbCr3Se.

Lattice parameters (Å, degrees): 4.7766 4.7766 4.7766 90.00 90.00 90.00
Closest atoms and distances in Å follow each position.
Sites, in units of the cell vectors:
Nb 0.0000 0.0000 0.0000  6 Cr 2.39
Cr 0.0000 0.0000 0.5000  2 Nb 2.39
Cr 0.0000 0.5000 0.0000  2 Nb 2.39
Cr 0.5000 0.0000 0.0000  2 Nb 2.39
Se 0.5000 0.5000 0.5000  12 Cr 3.38

Computed properties:
crystal system = cubic
space group = No. 221
calculated volume = 21.80 Å³/atom

=====

Version b
The following is a DFT calculation (PBE) of an optimized crystal structure of NbCr3Se.

Lattice parameters (Å, degrees): 4.4075 4.4075 4.4075 90.00 90.00 90.00
Closest atoms and distances in Å follow each position.
Sites, in units of the cell vectors:
Nb 0.0000 0.0000 0.0000  12 Cr 3.12
Cr 0.0000 0.5000 0.5000  2 Se 2.20
Cr 0.5000 0.0000 0.5000  2 Se 2.20
Cr 0.5000 0.5000 0.0000  2 Se 2.20
Se 0.5000 0.5000 0.5000  6 Cr 2.20

Computed properties:
crystal system = cubic
space group = No. 221
calculated volume = 17.12 Å³/atom

=====

Quick one: least stable of them? version a